(1)
Material: Ta2AlAs
Method: DFT, GGA-PBE
State: relaxed

Results
Total moment = 0.00 μB/f.u.
Energy relative to the elements = -0.34 eV per formula unit
Calculated volume = 16.99 Å³ per atom

Lattice parameters (Å, degrees): 3.4221 4.2153 4.7105 90.00 90.00 90.00
With the nearest neighbours (Å) after each atom.
Space group Pmmm (No. 47)
One atom of each set of equivalent atoms:
1 Ta 0.0000 0.0000 0.0000 x1  4 As 2.71, 4 Ta 2.91
2 Ta 0.5000 0.0000 0.5000 x1  4 Al 2.71, 4 Ta 2.91
3 Al 0.0000 0.5000 0.5000 x1  4 Ta 2.71, 4 As 2.91
4 As 0.5000 0.5000 0.0000 x1  4 Ta 2.71, 4 Al 2.91

=====

(2)
Material: YMn2CuN
Method: DFT, GGA-PBE
State: relaxed

Results
Formation energy from raw total energies = 2.54 eV per atom
Total moment = 11.00 μB/f.u.
Calculated volume = 29.22 Å³ per atom

Lattice parameters (Å, degrees): 5.3556 5.3556 5.0944 90.00 90.00 90.00
With the nearest neighbours (Å) after each atom.
Space group P4/mmm (No. 123)
One atom of each set of equivalent atoms:
1 Y 0.0000 0.0000 0.0000 x1  2 Cu 2.55, 4 Mn 2.68
2 Mn 0.0000 0.5000 0.0000 x2  2 Y 2.68
3 Cu 0.0000 0.0000 0.5000 x1  2 Y 2.55
4 N 0.5000 0.5000 0.5000 x1  8 Mn 3.70, 4 Cu 3.79

=====

(3)
Material: KLaMn2
Method: DFT, GGA-PBE
State: relaxed

Results
Total moment = 6.76 μB/f.u.
Energy relative to the elements = 3.01 eV per formula unit
Calculated volume = 31.57 Å³ per atom

Lattice parameters (Å, degrees): 10.1685 3.1850 7.8364 90.00 95.75 90.00
With the nearest neighbours (Å) after each atom.
Space group C2/m (No. 12)
One atom of each set of equivalent atoms:
1 K 0.0000 0.0000 0.0000 x2  2 K 3.19
2 La 0.0000 0.5000 0.5000 x2  6 Mn 2.95-3.04, 2 La 3.19
3 Mn 0.2416 0.0000 0.6405 x4  2 Mn 2.74, 3 La 2.95-3.04

=====

(4)
Material: NaCa2VCl8
Method: DFT, GGA-PBE
State: relaxed

Results
Formation energy from raw total energies = -1.86 eV per atom
Total moment = 2.00 μB/f.u.
Calculated volume = 26.35 Å³ per atom

Lattice parameters (Å, degrees): 6.0850 8.2309 6.3139 90.00 90.26 90.00
With the nearest neighbours (Å) after each atom.
Space group P2/m (No. 10)
One atom of each set of equivalent atoms:
1 Na 0.0000 0.0000 0.0000 x1  6 Cl 2.69-2.90
2 Ca 0.5000 0.2506 0.5000 x2  6 Cl 2.69-2.83
3 V 0.0000 0.5000 0.0000 x1  6 Cl 2.39-2.45
4 Cl 0.2142 0.2900 0.8401 x4  1 V 2.39
5 Cl 0.2492 0.5000 0.3069 x2  1 V 2.45
6 Cl 0.2759 0.0000 0.3334 x2  2 Ca 2.69, 1 Na 2.69

=====

(5)
Material: LiNi2As2
Method: DFT, GGA-PBE
State: relaxed

Results
Total moment = 0.00 μB/f.u.
Energy relative to the elements = -0.92 eV per formula unit
Calculated volume = 16.12 Å³ per atom

Lattice parameters (Å, degrees): 4.6584 5.3677 7.4946 82.48 72.16 64.60
With the nearest neighbours (Å) after each atom.
Space group P-1 (No. 2)
One atom of each set of equivalent atoms:
1 Li 0.1255 0.2488 0.2498 x2  4 As 2.84-2.86, 6 Ni 2.94-3.04
2 Ni 0.1886 0.1234 0.7499 x2  4 As 2.34-2.44
3 Ni 0.4376 0.6216 0.2506 x2  4 As 2.34-2.44
4 As 0.2588 0.7509 0.9795 x2  4 Ni 2.34-2.44
5 As 0.4895 0.7512 0.5207 x2  4 Ni 2.34-2.44

=====

(6)
Material: GaAsBr2F
Method: DFT, GGA-PBE
State: relaxed

Results
Formation energy from raw total energies = 0.04 eV per atom
Total moment = 0.84 μB/f.u.
Calculated volume = 26.34 Å³ per atom

Lattice parameters (Å, degrees): 5.0414 5.0414 5.1822 90.00 90.00 90.00
With the nearest neighbours (Å) after each atom.
Space group P4/mmm (No. 123)
One atom of each set of equivalent atoms:
1 Ga 0.0000 0.0000 0.0000 x1  4 Br 2.52, 2 As 2.59
2 As 0.0000 0.0000 0.5000 x1  2 Ga 2.59
3 Br 0.0000 0.5000 0.0000 x2  2 Ga 2.52
4 F 0.5000 0.5000 0.5000 x1  4 As 3.56, 8 Br 3.61

=====

(7)
Material: Nd2Dy2HoEr
Method: DFT, GGA-PBE
State: relaxed

Results
Total moment = 0.00 μB/f.u.
Energy relative to the elements = 0.39 eV per formula unit
Calculated volume = 32.28 Å³ per atom

Lattice parameters (Å, degrees): 7.0094 5.6453 9.7901 90.00 90.00 90.00
With the nearest neighbours (Å) after each atom.
Space group Pmma (No. 51)
One atom of each set of equivalent atoms:
1 Nd 0.0000 0.0000 0.0000 x2  6 Nd 3.50-3.75, 6 Dy 3.69-3.70, 2 Ho 3.77
2 Nd 0.2500 0.5000 0.1775 x2  5 Dy 3.20-3.51
3 Dy 0.2500 0.0000 0.3324 x2  3 Ho 3.20-3.51, 2 Nd 3.20
4 Dy 0.2500 0.5000 0.8365 x2  2 Ho 3.31, 7 Nd 3.34-3.69
5 Ho 0.2500 0.0000 0.6591 x2  5 Dy 3.20-3.51
6 Er 0.0000 0.5000 0.5000 x2  2 Er 3.50, 2 Nd 3.61, 4 Ho 3.67, 6 Dy 3.71-3.73

=====

(8)
Material: LiSmTmHg
Method: DFT, GGA-PBE
State: relaxed

Results
Total moment = 0.00 μB/f.u.
Energy relative to the elements = -0.81 eV per formula unit
Calculated volume = 25.51 Å³ per atom

Lattice parameters (Å, degrees): 7.4176 7.4176 7.4176 90.00 90.00 90.00
With the nearest neighbours (Å) after each atom.
Space group F-43m (No. 216)
One atom of each set of equivalent atoms:
1 Li 0.0000 0.0000 0.0000 x4  4 Tm 3.21, 4 Sm 3.21
2 Sm 0.2500 0.2500 0.7500 x4  4 Hg 3.21, 4 Li 3.21
3 Tm 0.2500 0.2500 0.2500 x4  4 Hg 3.21, 4 Li 3.21
4 Hg 0.0000 0.0000 0.5000 x4  4 Tm 3.21, 4 Sm 3.21

=====

One value per record, in order, for uncorrected energy: -32.43; -24.52; -21.35; -51.53; -23.69; -12.68; -27.49; -12.22 eV per formula unit.